Record 1
Compound: CrHgP
Source: the Alexandria database
Functional: GGA-PBE
Structure: relaxed

The space group is I4mm (No. 107) and the conventional cell measures 3.097, 3.097 and 10.565 Å, with angles of 90.00, 90.00 and 90.00 degrees. The asymmetric unit holds Cr at (0.000, 0.000, 0.000), Hg at (0.000, 0.000, 0.703) and P at (0.000, 0.000, 0.414).

Its total magnetic moment is 2.091 μB/f.u. As for the energy relative to the lowest polymorph listed for this composition: 22.9 kJ/mol of atoms.



Record 2
Compound: Pu3Pt7Rh2
Source: the Alexandria database
Functional: GGA-PBE
Structure: relaxed

The space group is R-3m (No. 166, hexagonal axes) and the conventional cell measures 5.3794, 5.3794 and 26.6485 Å, with angles of 90.00, 90.00 and 120.00 degrees. The asymmetric unit holds Pu at (0.0000, 0.0000, 0.0000), Pu at (0.0000, 0.0000, 0.1413), Pt at (0.0000, 0.0000, 0.5000), Pt at (0.0031, 0.5016, 0.9166) and Rh at (0.0000, 0.0000, 0.3324).

Its total magnetic moment is 14.426 μB/f.u.



Record 3
Compound: LaTb8Tm4
Source: the Alexandria database
Functional: GGA-PBE
Structure: relaxed

The space group is R-3m (No. 166, hexagonal axes) and the conventional cell measures 7.2792, 7.2792 and 27.1485 Å, with angles of 90.00, 90.00 and 120.00 degrees. The asymmetric unit holds La at (0.0000, 0.0000, 0.0000), Tb at (0.0000, 0.0000, 0.2807), Tb at (0.0344, 0.5172, 0.2673), Tm at (0.0000, 0.0000, 0.5000) and Tm at (0.0000, 0.5000, 0.5000).

Its total magnetic moment is 0.001 μB/f.u.



Number 1: energy of formation from the pure elements 0.162 eV per atom. Number 2: energy of formation from the pure elements -0.637 eV per atom. Number 3: energy of formation from the pure elements 0.183 eV per atom.